# 1
Below is an optimized crystal structure of BaNiMo2, with properties calculated at the PBE level.

Cell: 3.2519 3.2554 8.2595 Å, 71.27 90.00 90.00°
Closest atoms and distances in Å follow each position.
Fractional positions:
Ba 0.5000 0.7925 0.7336  4 Ba 3.25-3.26, 4 Ni 3.29-3.37, 2 Mo 3.49
Mo 0.0000 0.9423 0.0837  2 Mo 2.48, 1 Ni 2.70
Mo 0.5000 0.1974 0.2565  2 Mo 2.48, 4 Ni 2.64-2.67
Ni 0.0000 0.5678 0.4262  5 Mo 2.64-2.70

* offset from the most stable computed form: 0.000 eV/atom
* SG: Pm
* calculated total energy: -6.803 eV/atom
* spin magnetization: 0.00 μB/f.u.

# 2
Below is an optimized crystal structure of BaNiMo2, with properties calculated at the PBE level.

Cell: 3.1117 4.6238 5.4123 Å, 90.00 90.00 90.00°
Closest atoms and distances in Å follow each position.
Fractional positions:
Ba 0.0000 0.5000 0.5000  4 Ni 2.79, 2 Ba 3.11
Mo 0.0000 0.0000 0.0000  6 Mo 2.79-3.11
Mo 0.5000 0.5000 0.0000  6 Mo 2.79-3.11
Ni 0.5000 0.0000 0.5000  4 Ba 2.79, 2 Ni 3.11

* offset from the most stable computed form: 0.584 eV/atom
* SG: Pmmm
* calculated total energy: -6.219 eV/atom
* spin magnetization: 0.00 μB/f.u.

| no. | energy of formation (eV/atom) |
| --- | --- |
| 1 | 0.54 |
| 2 | 1.12 |